VASP calculation (SCAN) on SrMoAsH3O8 at its PBEsol-relaxed geometry.

Symmetry: C2/c (15)
VASP energy in eV per atom: -11.638

Structure (POSCAR):
```
SrMoAsH3O8
1.0
7.619 -4.941 0.000
7.619 4.941 0.000
-4.666 0.000 8.561
Sr Mo As H O
4 4 4 12 32
Direct
0.110 0.705 0.870 Sr
0.295 0.890 0.630 Sr
0.705 0.110 0.370 Sr
0.890 0.295 0.130 Sr
0.251 0.456 0.241 Mo
0.456 0.251 0.741 Mo
0.544 0.749 0.259 Mo
0.749 0.544 0.759 Mo
0.155 0.300 0.889 As
0.300 0.155 0.389 As
0.700 0.845 0.611 As
0.845 0.700 0.111 As
0.024 0.249 0.471 H
0.056 0.800 0.308 H
0.133 0.588 0.520 H
0.200 0.944 0.192 H
0.249 0.024 0.971 H
0.412 0.867 0.980 H
0.588 0.133 0.020 H
0.751 0.976 0.029 H
0.800 0.056 0.808 H
0.867 0.412 0.480 H
0.944 0.200 0.692 H
0.976 0.751 0.529 H
0.019 0.450 0.793 O
0.062 0.135 0.736 O
0.095 0.702 0.589 O
0.135 0.062 0.236 O
0.156 0.245 0.041 O
0.194 0.353 0.354 O
0.225 0.485 0.054 O
0.245 0.156 0.541 O
0.249 0.659 0.364 O
0.298 0.905 0.911 O
0.340 0.459 0.787 O
0.341 0.751 0.136 O
0.353 0.194 0.854 O
0.450 0.019 0.293 O
0.459 0.340 0.287 O
0.485 0.225 0.554 O
0.515 0.775 0.446 O
0.541 0.660 0.713 O
0.550 0.981 0.707 O
0.647 0.806 0.146 O
0.659 0.249 0.864 O
0.660 0.541 0.213 O
0.702 0.095 0.089 O
0.751 0.341 0.636 O
0.755 0.844 0.459 O
0.775 0.515 0.946 O
0.806 0.647 0.646 O
0.844 0.755 0.959 O
0.865 0.938 0.764 O
0.905 0.298 0.411 O
0.938 0.865 0.264 O
0.981 0.550 0.207 O
```



VASP calculation (SCAN) on NaAs3H2O9 at its PBEsol-relaxed geometry.

Symmetry: P-1 (2)
VASP energy in eV per atom: -9.867

Structure (POSCAR):
```
NaAs3H2O9
1.0
7.245 0.000 0.000
-2.107 7.258 0.000
-2.389 -3.589 6.664
Na As H O
2 6 4 18
Direct
0.182 0.183 0.456 Na
0.818 0.817 0.544 Na
0.136 0.654 0.335 As
0.310 0.162 0.044 As
0.347 0.568 0.025 As
0.653 0.432 0.975 As
0.690 0.838 0.956 As
0.864 0.346 0.665 As
0.127 0.797 0.885 H
0.390 0.648 0.587 H
0.610 0.352 0.413 H
0.873 0.203 0.115 H
0.101 0.918 0.872 O
0.104 0.862 0.454 O
0.105 0.564 0.855 O
0.177 0.312 0.994 O
0.229 0.539 0.473 O
0.319 0.724 0.242 O
0.397 0.205 0.280 O
0.410 0.437 0.818 O
0.497 0.826 0.047 O
0.503 0.174 0.953 O
0.590 0.563 0.182 O
0.603 0.795 0.720 O
0.681 0.276 0.758 O
0.771 0.461 0.527 O
0.823 0.688 0.006 O
0.895 0.436 0.145 O
0.896 0.138 0.546 O
0.899 0.082 0.128 O
```



VASP calculation (SCAN) on NaAsHOs2 at its PBEsol-relaxed geometry.

Symmetry: P4/mmm (123)
VASP energy in eV per atom: -30.994

Structure (POSCAR):
```
NaAsHOs2
1.0
4.562 0.000 0.000
0.000 4.562 0.000
0.000 0.000 4.594
Na As H Os
1 1 1 2
Direct
0.000 0.000 0.000 Na
0.000 0.000 0.500 As
0.500 0.500 0.500 H
0.000 0.500 0.000 Os
0.500 0.000 0.000 Os
```



VASP calculation (SCAN) on NaSn2AsH at its PBEsol-relaxed geometry.

Symmetry: P4/mmm (123)
VASP energy in eV per atom: -19.207

Structure (POSCAR):
```
NaSn2AsH
1.0
5.590 0.000 0.000
0.000 5.590 0.000
0.000 0.000 3.484
Na Sn As H
1 2 1 1
Direct
0.000 0.000 0.000 Na
0.000 0.500 0.000 Sn
0.500 0.000 0.000 Sn
0.500 0.500 0.500 As
0.000 0.000 0.500 H
```



VASP calculation (SCAN) on Nb3AsH at its PBEsol-relaxed geometry.

Symmetry: Pm-3m (221)
VASP energy in eV per atom: -24.857

Structure (POSCAR):
```
Nb3AsH
1.0
4.101 0.000 0.000
0.000 4.101 0.000
0.000 0.000 4.101
Nb As H
3 1 1
Direct
0.000 0.000 0.500 Nb
0.000 0.500 0.000 Nb
0.500 0.000 0.000 Nb
0.500 0.500 0.500 As
0.000 0.000 0.000 H
```



VASP calculation (SCAN) on Ni3AsH at its PBEsol-relaxed geometry.

Symmetry: Pm-3m (221)
VASP energy in eV per atom: -14.523

Structure (POSCAR):
```
Ni3AsH
1.0
3.606 0.000 0.000
0.000 3.606 0.000
0.000 0.000 3.606
Ni As H
3 1 1
Direct
0.000 0.000 0.500 Ni
0.000 0.500 0.000 Ni
0.500 0.000 0.000 Ni
0.500 0.500 0.500 As
0.000 0.000 0.000 H
```



VASP calculation (SCAN) on NiAs2HSe at its PBEsol-relaxed geometry.

Symmetry: P4/mmm (123)
VASP energy in eV per atom: -15.361

Structure (POSCAR):
```
NiAs2HSe
1.0
5.025 0.000 0.000
0.000 5.025 0.000
0.000 0.000 3.149
Ni As H Se
1 2 1 1
Direct
0.000 0.000 0.000 Ni
0.000 0.500 0.500 As
0.500 0.000 0.500 As
0.500 0.500 0.000 H
0.500 0.500 0.500 Se
```



VASP calculation (SCAN) on NiSnAs2H at its PBEsol-relaxed geometry.

Symmetry: P4/mmm (123)
VASP energy in eV per atom: -18.516

Structure (POSCAR):
```
NiSnAs2H
1.0
4.037 0.000 0.000
0.000 4.037 0.000
0.000 0.000 4.649
Ni Sn As H
1 1 2 1
Direct
0.000 0.000 0.000 Ni
0.500 0.500 0.000 Sn
0.000 0.500 0.500 As
0.500 0.000 0.500 As
0.500 0.500 0.500 H
```



VASP calculation (SCAN) on ZnAsHPbO5 at its PBEsol-relaxed geometry.

Symmetry: P2_12_12_1 (19)
VASP energy in eV per atom: -17.434

Structure (POSCAR):
```
ZnAsHPbO5
1.0
6.110 0.000 0.000
0.000 7.613 0.000
0.000 0.000 9.323
Zn As H Pb O
4 4 4 4 20
Direct
0.236 0.230 0.010 Zn
0.264 0.770 0.510 Zn
0.736 0.270 0.990 Zn
0.764 0.730 0.490 Zn
0.012 0.874 0.185 As
0.488 0.126 0.685 As
0.512 0.626 0.815 As
0.988 0.374 0.315 As
0.016 0.504 0.992 H
0.484 0.496 0.492 H
0.516 0.996 0.008 H
0.984 0.004 0.508 H
0.032 0.372 0.674 Pb
0.468 0.628 0.174 Pb
0.532 0.128 0.326 Pb
0.968 0.872 0.826 Pb
0.007 0.389 0.938 O
0.008 0.556 0.426 O
0.064 0.698 0.075 O
0.231 0.352 0.222 O
0.239 0.887 0.295 O
0.261 0.113 0.795 O
0.269 0.648 0.722 O
0.436 0.302 0.575 O
0.492 0.444 0.926 O
0.493 0.611 0.438 O
0.507 0.111 0.062 O
0.508 0.944 0.574 O
0.564 0.802 0.925 O
0.731 0.148 0.778 O
0.739 0.613 0.705 O
0.761 0.387 0.205 O
0.769 0.852 0.278 O
0.936 0.198 0.425 O
0.992 0.056 0.074 O
0.993 0.889 0.562 O
```



VASP calculation (SCAN) on RbAs4H3O12 at its PBEsol-relaxed geometry.

Symmetry: P-1 (2)
VASP energy in eV per atom: -10.661

Structure (POSCAR):
```
RbAs4H3O12
1.0
5.194 0.000 0.000
-0.631 7.015 0.000
-0.639 -3.462 6.975
Rb As H O
1 4 3 12
Direct
0.000 0.000 0.000 Rb
0.153 0.364 0.687 As
0.401 0.691 0.565 As
0.599 0.309 0.435 As
0.847 0.636 0.313 As
0.000 0.500 0.000 H
0.487 0.056 0.699 H
0.513 0.944 0.301 H
0.096 0.351 0.891 O
0.108 0.783 0.490 O
0.225 0.630 0.741 O
0.307 0.415 0.382 O
0.423 0.237 0.614 O
0.498 0.050 0.247 O
0.502 0.950 0.753 O
0.577 0.763 0.386 O
0.693 0.585 0.618 O
0.775 0.370 0.259 O
0.892 0.217 0.510 O
0.904 0.649 0.109 O
```



VASP calculation (SCAN) on ReAsHO2 at its PBEsol-relaxed geometry.

Symmetry: P4/mmm (123)
VASP energy in eV per atom: -20.655

Structure (POSCAR):
```
ReAsHO2
1.0
3.518 0.000 0.000
0.000 3.518 0.000
0.000 0.000 5.277
Re As H O
1 1 1 2
Direct
0.000 0.000 0.000 Re
0.000 0.000 0.500 As
0.500 0.500 0.000 H
0.000 0.500 0.500 O
0.500 0.000 0.500 O
```



VASP calculation (SCAN) on AsH2RhO at its PBEsol-relaxed geometry.

Symmetry: P4/mmm (123)
VASP energy in eV per atom: -12.939

Structure (POSCAR):
```
AsH2RhO
1.0
3.336 0.000 0.000
0.000 3.336 0.000
0.000 0.000 4.321
As H Rh O
1 2 1 1
Direct
0.000 0.000 0.000 As
0.000 0.500 0.000 H
0.500 0.000 0.000 H
0.500 0.500 0.500 Rh
0.000 0.000 0.500 O
```



VASP calculation (SCAN) on SrAsH3O5 at its PBEsol-relaxed geometry.

Symmetry: Pbca (61)
VASP energy in eV per atom: -10.139

Structure (POSCAR):
```
SrAsH3O5
1.0
7.511 0.000 0.000
0.000 8.360 0.000
0.000 0.000 14.106
Sr As H O
8 8 24 40
Direct
0.135 0.175 0.085 Sr
0.135 0.325 0.585 Sr
0.365 0.675 0.085 Sr
0.365 0.825 0.585 Sr
0.635 0.175 0.415 Sr
0.635 0.325 0.915 Sr
0.865 0.675 0.415 Sr
0.865 0.825 0.915 Sr
0.145 0.053 0.387 As
0.145 0.447 0.887 As
0.355 0.553 0.387 As
0.355 0.947 0.887 As
0.645 0.053 0.113 As
0.645 0.447 0.613 As
0.855 0.553 0.113 As
0.855 0.947 0.613 As
0.057 0.676 0.619 H
0.057 0.824 0.119 H
0.101 0.606 0.722 H
0.101 0.894 0.222 H
0.222 0.743 0.806 H
0.222 0.757 0.306 H
0.278 0.243 0.806 H
0.278 0.257 0.306 H
0.399 0.106 0.722 H
0.399 0.394 0.222 H
0.443 0.176 0.619 H
0.443 0.324 0.119 H
0.557 0.676 0.881 H
0.557 0.824 0.381 H
0.601 0.606 0.778 H
0.601 0.894 0.278 H
0.722 0.743 0.694 H
0.722 0.757 0.194 H
0.778 0.243 0.694 H
0.778 0.257 0.194 H
0.899 0.106 0.778 H
0.899 0.394 0.278 H
0.943 0.176 0.881 H
0.943 0.324 0.381 H
0.014 0.659 0.055 O
0.014 0.841 0.555 O
0.075 0.624 0.839 O
0.075 0.876 0.339 O
0.139 0.602 0.654 O
0.139 0.898 0.154 O
0.169 0.539 0.454 O
0.169 0.961 0.954 O
0.197 0.165 0.284 O
0.197 0.335 0.784 O
0.303 0.665 0.284 O
0.303 0.835 0.784 O
0.331 0.039 0.454 O
0.331 0.461 0.954 O
0.361 0.102 0.654 O
0.361 0.398 0.154 O
0.425 0.124 0.839 O
0.425 0.376 0.339 O
0.486 0.159 0.055 O
0.486 0.341 0.555 O
0.514 0.659 0.445 O
0.514 0.841 0.945 O
0.575 0.624 0.661 O
0.575 0.876 0.161 O
0.639 0.602 0.846 O
0.639 0.898 0.346 O
0.669 0.539 0.046 O
0.669 0.961 0.546 O
0.697 0.165 0.216 O
0.697 0.335 0.716 O
0.803 0.665 0.216 O
0.803 0.835 0.716 O
0.831 0.039 0.046 O
0.831 0.461 0.546 O
0.861 0.102 0.846 O
0.861 0.398 0.346 O
0.925 0.124 0.661 O
0.925 0.376 0.161 O
0.986 0.159 0.445 O
0.986 0.341 0.945 O
```



VASP calculation (SCAN) on TiAs2H4O9 at its PBEsol-relaxed geometry.

Symmetry: P2_1/c (14)
VASP energy in eV per atom: -9.476

Structure (POSCAR):
```
TiAs2H4O9
1.0
8.857 0.000 0.000
0.000 5.091 0.000
-4.945 0.000 15.760
Ti As H O
4 8 16 36
Direct
0.239 0.242 0.486 Ti
0.239 0.258 0.986 Ti
0.761 0.742 0.014 Ti
0.761 0.758 0.514 Ti
0.007 0.739 0.392 As
0.007 0.761 0.892 As
0.456 0.733 0.596 As
0.456 0.767 0.096 As
0.544 0.233 0.904 As
0.544 0.267 0.404 As
0.993 0.239 0.108 As
0.993 0.261 0.608 As
0.149 0.074 0.235 H
0.149 0.426 0.735 H
0.210 0.666 0.278 H
0.210 0.834 0.778 H
0.310 0.594 0.831 H
0.310 0.906 0.331 H
0.399 0.703 0.726 H
0.399 0.797 0.226 H
0.601 0.203 0.774 H
0.601 0.297 0.274 H
0.690 0.094 0.669 H
0.690 0.406 0.169 H
0.790 0.166 0.222 H
0.790 0.334 0.722 H
0.851 0.574 0.265 H
0.851 0.926 0.765 H
0.059 0.058 0.413 O
0.059 0.442 0.913 O
0.087 0.245 0.216 O
0.087 0.255 0.716 O
0.126 0.126 0.060 O
0.126 0.374 0.560 O
0.170 0.544 0.411 O
0.170 0.956 0.911 O
0.263 0.668 0.772 O
0.263 0.832 0.272 O
0.296 0.574 0.053 O
0.296 0.926 0.553 O
0.374 0.133 0.413 O
0.374 0.367 0.913 O
0.427 0.079 0.058 O
0.427 0.421 0.558 O
0.496 0.728 0.705 O
0.496 0.772 0.205 O
0.504 0.228 0.795 O
0.504 0.272 0.295 O
0.573 0.579 0.442 O
0.573 0.921 0.942 O
0.626 0.633 0.087 O
0.626 0.867 0.587 O
0.704 0.074 0.447 O
0.704 0.426 0.947 O
0.737 0.168 0.728 O
0.737 0.332 0.228 O
0.830 0.044 0.089 O
0.830 0.456 0.589 O
0.874 0.626 0.440 O
0.874 0.874 0.940 O
0.913 0.745 0.284 O
0.913 0.755 0.784 O
0.941 0.558 0.087 O
0.941 0.942 0.587 O
```